## UCoCu2O6 (GGA+U)

Data for an optimized crystal structure of UCoCu2O6.

## Properties
- Raw total energy: -0.2556 hartree per atom

Cell lengths 5.1354, 5.1469, 5.6147 Å; angles 64.50, 63.09, 60.95 degrees
Space group P1 (No. 1)
Inequivalent atoms, fractional coordinates:
U  0.0000  0.0000  0.0000 [1 per cell]
Co  0.4977  0.4877  0.5211 [1 per cell]
Cu  0.2428  0.2443  0.2570 [1 per cell]
Cu  0.8073  0.7827  0.6103 [1 per cell]
O  0.1396  0.3716  0.7599 [1 per cell]
O  0.2301  0.8529  0.3120 [1 per cell]
O  0.3990  0.7248  0.7610 [1 per cell]
O  0.6114  0.2588  0.2668 [1 per cell]
O  0.7357  0.1163  0.7462 [1 per cell]
O  0.8596  0.6099  0.3012 [1 per cell]